<P>
Entry from the Alexandria database: a geometry-optimized GdUIr2 structure (PBE).

Unit cell a=3.4123 b=3.4123 c=7.0866 alpha=90.00 beta=90.00 gamma=90.00
Site moments in Bohr magnetons follow the coordinates.
Element x y z (fractional)
Gd  0.5000  0.5000  0.5000  6.97
Ir  0.0000  0.0000  0.2226  0.09
Ir  0.0000  0.0000  0.7774  0.09
U  0.5000  0.5000  0.0000  -1.40

- N(E_F) (states/eV/f.u.) = 4.55

=====

<Q>
Entry from the Alexandria database: a geometry-optimized GdUIr2 structure (PBE).

Unit cell a=4.8703 b=4.8703 c=4.8703 alpha=60.00 beta=60.00 gamma=60.00
Site moments in Bohr magnetons follow the coordinates.
Element x y z (fractional)
Gd  0.0000  0.0000  0.0000  6.84
Ir  0.2500  0.2500  0.2500  0.14
Ir  0.7500  0.7500  0.7500  0.14
U  0.5000  0.5000  0.5000  -2.11

- N(E_F) (states/eV/f.u.) = 5.12

=====

The relative energies come out as <P> 0; <Q> 65, with values in meV/atom.

=====

<P>
Entry from the Alexandria database: a geometry-optimized GdYIr structure (PBE).

Unit cell a=3.4937 b=3.4937 c=6.8743 alpha=104.72 beta=104.72 gamma=90.00
Site moments in Bohr magnetons follow the coordinates.
Element x y z (fractional)
Gd  0.0392  0.0392  0.0785  7.00
Y  0.2935  0.2935  0.5869  0.02
Ir  0.6673  0.6673  0.3346  -0.04

- N(E_F) (states/eV/f.u.) = 3.36

=====

<Q>
Entry from the Alexandria database: a geometry-optimized GdYIr structure (PBE).

Unit cell a=4.8327 b=4.8327 c=4.8327 alpha=60.00 beta=60.00 gamma=60.00
Site moments in Bohr magnetons follow the coordinates.
Element x y z (fractional)
Gd  0.0000  0.0000  0.0000  7.11
Y  0.5000  0.5000  0.5000  0.08
Ir  0.2500  0.2500  0.2500  -0.01

- N(E_F) (states/eV/f.u.) = 2.99

=====

<R>
Entry from the Alexandria database: a geometry-optimized GdYIr structure (PBE).

Unit cell a=6.1964 b=4.1163 c=4.1163 alpha=120.00 beta=90.00 gamma=90.00
Site moments in Bohr magnetons follow the coordinates.
Element x y z (fractional)
Gd  0.1017  0.0000  0.0000  7.01
Y  0.5646  0.6667  0.3333  0.01
Ir  0.3338  0.3333  0.6667  -0.01

- N(E_F) (states/eV/f.u.) = 2.30

=====

The relative energies come out as <P> 109; <Q> 0; <R> 119, with values in meV/atom.

=====

<P>
Entry from the Alexandria database: a geometry-optimized LiLaGd structure (PBE).

Unit cell a=3.7229 b=3.7229 c=7.0276 alpha=105.36 beta=105.36 gamma=90.00
Site moments in Bohr magnetons follow the coordinates.
Element x y z (fractional)
Gd  0.3206  0.3206  0.6412  7.32
La  0.0085  0.0085  0.0171  0.09
Li  0.6708  0.6708  0.3417  0.00

- N(E_F) (states/eV/f.u.) = 3.88

=====

<Q>
Entry from the Alexandria database: a geometry-optimized LiLaGd structure (PBE).

Unit cell a=3.5816 b=3.5816 c=8.4751 alpha=90.00 beta=90.00 gamma=120.00
Site moments in Bohr magnetons follow the coordinates.
Element x y z (fractional)
Gd  0.6667  0.3333  0.3261  -7.26
Li  0.0000  0.0000  0.0050  -0.01
La  0.3333  0.6667  0.6689  0.02

- N(E_F) (states/eV/f.u.) = 3.57

=====

The relative energies come out as <P> 0; <Q> 31, with values in meV/atom.

=====

<P>
Entry from the Alexandria database: a geometry-optimized LiLa2Gd structure (PBE).

Unit cell a=5.6798 b=5.6798 c=5.6798 alpha=60.00 beta=60.00 gamma=60.00
Site moments in Bohr magnetons follow the coordinates.
Element x y z (fractional)
Gd  0.0000  0.0000  0.0000  7.21
Li  0.5000  0.5000  0.5000  -0.01
La  0.2500  0.2500  0.2500  0.03
La  0.7500  0.7500  0.7500  0.03

- N(E_F) (states/eV/f.u.) = 5.74

=====

<Q>
Entry from the Alexandria database: a geometry-optimized LiLa2Gd structure (PBE).

Unit cell a=3.4785 b=3.4785 c=12.4651 alpha=81.98 beta=81.98 gamma=60.00
Site moments in Bohr magnetons follow the coordinates.
Element x y z (fractional)
Gd  0.0000  0.0000  0.0000  7.30
Li  0.5000  0.5000  0.5000  0.00
La  0.0888  0.0888  0.7335  0.00
La  0.9112  0.9112  0.2665  0.00

- N(E_F) (states/eV/f.u.) = 5.59

=====

The relative energies come out as <P> 0; <Q> 70, with values in meV/atom.

=====

<P>
Entry from the Alexandria database: a geometry-optimized LaGdLu2 structure (PBE).

Unit cell a=4.9236 b=5.1015 c=5.1015 alpha=90.00 beta=90.00 gamma=90.00
Site moments in Bohr magnetons follow the coordinates.
Element x y z (fractional)
Gd  0.5000  0.5000  0.5000  7.21
Lu  0.0000  0.0000  0.5000  0.04
Lu  0.0000  0.5000  0.0000  0.04
La  0.5000  0.0000  0.0000  -0.03

- N(E_F) (states/eV/f.u.) = 6.46

=====

<Q>
Entry from the Alexandria database: a geometry-optimized LaGdLu2 structure (PBE).

Unit cell a=3.6348 b=3.6348 c=9.6922 alpha=90.00 beta=90.00 gamma=90.00
Site moments in Bohr magnetons follow the coordinates.
Element x y z (fractional)
Gd  0.5000  0.5000  0.0000  -7.16
Lu  0.0000  0.0000  0.7549  0.00
Lu  0.0000  0.0000  0.2451  0.00
La  0.5000  0.5000  0.5000  0.02

- N(E_F) (states/eV/f.u.) = 7.26

=====

The relative energies come out as <P> 0; <Q> 9, with values in meV/atom.

=====

<P>
Entry from the Alexandria database: a geometry-optimized NaLaGd structure (PBE).

Unit cell a=3.6351 b=3.6351 c=9.3336 alpha=90.00 beta=90.00 gamma=120.00
Site moments in Bohr magnetons follow the coordinates.
Element x y z (fractional)
Na  0.0000  0.0000  0.0046  0.00
Gd  0.6667  0.3333  0.3452  -7.24
La  0.3333  0.6667  0.6502  0.00

- N(E_F) (states/eV/f.u.) = 3.68

=====

<Q>
Entry from the Alexandria database: a geometry-optimized NaLaGd structure (PBE).

Unit cell a=3.6005 b=3.6005 c=8.6355 alpha=102.03 beta=102.03 gamma=90.00
Site moments in Bohr magnetons follow the coordinates.
Element x y z (fractional)
Na  0.9975  0.9975  0.9950  0.00
Gd  0.3263  0.3263  0.6525  7.32
La  0.6763  0.6763  0.3525  0.03

- N(E_F) (states/eV/f.u.) = 3.19

=====

The relative energies come out as <P> 0; <Q> 18, with values in meV/atom.

=====

<P>
Entry from the Alexandria database: a geometry-optimized NaLaGd2 structure (PBE).

Unit cell a=3.5700 b=3.5700 c=12.9989 alpha=82.11 beta=82.11 gamma=60.00
Site moments in Bohr magnetons follow the coordinates.
Element x y z (fractional)
Na  0.0000  0.0000  0.0000  0.00
Gd  0.0912  0.0912  0.7263  7.23
Gd  0.9088  0.9088  0.2737  7.23
La  0.5000  0.5000  0.5000  -0.04

- N(E_F) (states/eV/f.u.) = 5.47

=====

<Q>
Entry from the Alexandria database: a geometry-optimized NaLaGd2 structure (PBE).

Unit cell a=3.5953 b=3.5953 c=10.7161 alpha=90.00 beta=90.00 gamma=90.00
Site moments in Bohr magnetons follow the coordinates.
Element x y z (fractional)
Na  0.5000  0.5000  0.5000  0.00
Gd  0.0000  0.0000  0.7653  7.22
Gd  0.0000  0.0000  0.2347  7.22
La  0.5000  0.5000  0.0000  0.00

- N(E_F) (states/eV/f.u.) = 5.70

=====

The relative energies come out as <P> 32; <Q> 0, with values in meV/atom.

=====

<P>
Entry from the Alexandria database: a geometry-optimized LaGd2Ni structure (PBE).

Unit cell a=3.4926 b=3.4926 c=9.0072 alpha=90.00 beta=90.00 gamma=90.00
Site moments in Bohr magnetons follow the coordinates.
Element x y z (fractional)
Ni  0.5000  0.5000  0.0000  -0.03
Gd  0.0000  0.0000  0.8214  7.03
Gd  0.0000  0.0000  0.1786  7.03
La  0.5000  0.5000  0.5000  -0.02

- N(E_F) (states/eV/f.u.) = 4.74

=====

<Q>
Entry from the Alexandria database: a geometry-optimized LaGd2Ni structure (PBE).

Unit cell a=3.8112 b=3.8112 c=9.7170 alpha=78.69 beta=78.69 gamma=60.00
Site moments in Bohr magnetons follow the coordinates.
Element x y z (fractional)
Ni  0.0000  0.0000  0.0000  -0.03
Gd  0.7241  0.7241  0.8277  7.11
Gd  0.2759  0.2759  0.1723  7.11
La  0.5000  0.5000  0.5000  0.03

- N(E_F) (states/eV/f.u.) = 5.51

=====

The relative energies come out as <P> 0; <Q> 59, with values in meV/atom.